# Pm3Sm4Y5, relaxed, DFT PBE
# offset from the most stable computed form: 0.0 kJ per mole of atoms
# formation energy from the elements: 1 kJ per mole of atoms
# theoretical density: 6.169 g/cm³
data_Pm3Sm4Y5
_chemical_formula_sum 'Pm3 Sm4 Y5'
_cell_length_a 6.2495
_cell_length_b 7.2173
_cell_length_c 8.8388
_cell_angle_alpha 90.06
_cell_angle_beta 90.08
_cell_angle_gamma 90.14
_symmetry_space_group_name_H-M 'P -1'
_symmetry_Int_Tables_number 2
_symmetry_space_group_name_Hall '-P 1'
loop_
_atom_site_label
_atom_site_type_symbol
_atom_site_fract_x
_atom_site_fract_y
_atom_site_fract_z
_atom_site_occupancy
Pm1 Pm 0.0000 0.0000 0.0000 1
Pm2 Pm 0.1668 0.7493 0.6676 1
Sm1 Sm 0.1672 0.2502 0.6675 1
Sm2 Sm 0.3327 0.5005 0.3334 1
Y1 Y 0.0000 0.5000 0.0000 1
Y2 Y 0.3332 0.0002 0.3321 1
Y3 Y 0.4997 0.2496 0.9999 1